Crystalline BaCaFe2Hg at its relaxed geometry. Source: the Alexandria database, functional PBE.

The formation energy is 1.320 eV/atom.

a = 5.1164 Å, b = 5.1164 Å, c = 6.4300 Å
α = 90.00°, β = 90.00°, γ = 90.00°
Closest atoms and distances in Å follow each position.
Space group P4/mmm (No. 123)
Symmetry-distinct sites (fractional):
Ba: 0.0000 0.0000 0.0000 [1 per cell]  2 Ca 3.22
Ca: 0.0000 0.0000 0.5000 [1 per cell]  4 Fe 2.56
Fe: 0.0000 0.5000 0.5000 [2 per cell]  2 Ca 2.56
Hg: 0.5000 0.5000 0.0000 [1 per cell]  4 Ba 3.62

=====

Crystalline BaCaFe2I at its relaxed geometry. Source: the Alexandria database, functional PBE.

The calculation puts the formation energy from raw total energies at 0.987 eV per atom.

a = 5.1669 Å, b = 5.1669 Å, c = 7.2864 Å
α = 90.00°, β = 90.00°, γ = 90.00°
Closest atoms and distances in Å follow each position.
Space group P4/mmm (No. 123)
Symmetry-distinct sites (fractional):
Ba: 0.0000 0.0000 0.0000 [1 per cell]  2 Ca 3.64, 4 I 3.65
Ca: 0.0000 0.0000 0.5000 [1 per cell]  4 Fe 2.58
Fe: 0.0000 0.5000 0.5000 [2 per cell]  2 Ca 2.58
I: 0.5000 0.5000 0.0000 [1 per cell]  4 Ba 3.65

=====

Crystalline BaCa2LaFe at its relaxed geometry. Source: the Alexandria database, functional PBE.

The formation energy is 0.184 eV/atom.

a = 5.9602 Å, b = 5.9602 Å, c = 5.2813 Å
α = 90.00°, β = 90.00°, γ = 90.00°
Closest atoms and distances in Å follow each position.
Space group P4/mmm (No. 123)
Symmetry-distinct sites (fractional):
Ba: 0.0000 0.0000 0.0000 [1 per cell]  8 Ca 3.98, 4 La 4.21
Ca: 0.0000 0.5000 0.5000 [2 per cell]  2 Fe 2.98
La: 0.5000 0.5000 0.0000 [1 per cell]  2 Fe 2.64
Fe: 0.5000 0.5000 0.5000 [1 per cell]  2 La 2.64